[1]
The following is a DFT calculation (PBE-GGA) of a relaxed SrAc3Zn crystal.

abc: 6.130 6.130 6.130
angles: 90.00 90.00 90.00
Positions (direct):
1 Sr 0.500 0.500 0.500
2 Ac 0.000 0.500 0.000
3 Ac 0.000 0.000 0.500
4 Ac 0.500 0.000 0.000
5 Zn 0.000 0.000 0.000

Calculated values
**DFT formation energy**: 0.11 eV/atom
**Total magnetic moment**: 0.019 μB per atom
**DOS at the Fermi energy**: 11.19 states/eV per cell


[2]
The following is a DFT calculation (PBE-GGA) of a relaxed TlRh3 crystal.

abc: 4.821 4.821 4.917
angles: 79.88 79.88 35.08
Positions (direct):
1 Tl 0.000 0.000 0.000
2 Rh 0.500 0.500 0.500
3 Rh 0.755 0.755 0.728
4 Rh 0.245 0.245 0.272

Calculated values
**DFT formation energy**: 0.16 eV/atom
**Total magnetic moment**: 0.000 μB per atom
**DOS at the Fermi energy**: 4.73 states/eV per cell


[3]
The following is a DFT calculation (PBE-GGA) of a relaxed PrSmIN crystal.

abc: 3.798 3.802 7.961
angles: 89.97 103.82 120.05
Positions (direct):
1 Pr 0.519 0.157 0.691
2 Sm 0.081 0.939 0.035
3 I 0.963 0.379 0.358
4 N 0.315 0.556 0.886

Calculated values
**Total magnetic moment**: 0.000 μB per atom
**Raw formation energy**: -1195 meV/atom
**DOS at the Fermi energy**: 1.12 states/eV per cell


[4]
The following is a DFT calculation (PBE-GGA) of a relaxed Sm4GePSe2 crystal.

abc: 4.179 7.283 7.230
angles: 70.68 90.00 90.00
Positions (direct):
1 Sm 0.000 0.737 0.752
2 Sm 0.000 0.263 0.248
3 Sm 0.500 0.734 0.257
4 Sm 0.500 0.266 0.743
5 Ge 0.500 0.500 0.000
6 P 0.000 0.500 0.500
7 Se 0.000 0.000 0.000
8 Se 0.500 0.000 0.500

Calculated values
**Total magnetic moment**: 0.000 μB per atom
**Raw formation energy**: -1606 meV/atom
**DOS at the Fermi energy**: 1.37 states/eV per cell


[5]
The following is a DFT calculation (PBE-GGA) of a relaxed RbThAg2Se4 crystal.

abc: 7.153 6.777 6.777
angles: 68.55 58.15 58.15
Positions (direct):
1 Rb 0.000 0.000 0.000
2 Th 0.500 0.500 0.500
3 Ag 0.185 0.315 0.315
4 Ag 0.815 0.685 0.685
5 Se 0.473 0.091 0.522
6 Se 0.086 0.909 0.478
7 Se 0.914 0.522 0.091
8 Se 0.527 0.478 0.909

Calculated values
**Total magnetic moment**: 0.000 μB per atom
**Raw formation energy**: -774 meV/atom
**DOS at the Fermi energy**: 3.68 states/eV per cell


[6]
The following is a DFT calculation (PBE-GGA) of a relaxed CdBF4 crystal.

abc: 4.873 4.873 9.091
angles: 78.27 78.27 63.47
Positions (direct):
1 Cd 0.500 0.000 0.500
2 Cd 0.000 0.500 0.000
3 B 0.186 0.814 0.250
4 B 0.814 0.186 0.750
5 F 0.116 0.164 0.751
6 F 0.308 0.624 0.382
7 F 0.692 0.376 0.618
8 F 0.164 0.116 0.251
9 F 0.836 0.884 0.749
10 F 0.376 0.692 0.118
11 F 0.624 0.308 0.882
12 F 0.884 0.836 0.249

Calculated values
**Energy above the most stable polymorph in this dataset**: 53 meV/atom
**Total magnetic moment**: 0.075 μB per atom
**Raw formation energy**: -2312 meV/atom
**DOS at the Fermi energy**: 4.41 states/eV per cell


[7]
The following is a DFT calculation (PBE-GGA) of a relaxed Mg2CrMo3S8 crystal.

abc: 7.369 7.369 7.369
angles: 60.28 60.28 60.28
Positions (direct):
1 Mg 0.124 0.124 0.124
2 Mg 0.876 0.876 0.876
3 Cr 0.500 0.500 0.500
4 Mo 0.500 0.000 0.500
5 Mo 0.000 0.500 0.500
6 Mo 0.500 0.500 0.000
7 S 0.265 0.714 0.265
8 S 0.286 0.735 0.735
9 S 0.740 0.740 0.740
10 S 0.735 0.735 0.286
11 S 0.260 0.260 0.260
12 S 0.265 0.265 0.714
13 S 0.735 0.286 0.735
14 S 0.714 0.265 0.265

Calculated values
**Total magnetic moment**: 0.833 μB per atom
**Raw formation energy**: -669 meV/atom
**DOS at the Fermi energy**: 4.12 states/eV per cell


[8]
The following is a DFT calculation (PBE-GGA) of a relaxed Rb2Tb2US6 crystal.

abc: 7.006 7.006 8.213
angles: 98.33 98.33 119.93
Positions (direct):
1 Rb 0.831 0.169 0.000
2 Rb 0.169 0.831 0.000
3 Tb 0.334 0.666 0.500
4 Tb 0.666 0.334 0.500
5 U 0.000 0.000 0.500
6 S 0.738 0.738 0.686
7 S 0.061 0.390 0.686
8 S 0.262 0.262 0.314
9 S 0.390 0.061 0.686
10 S 0.939 0.610 0.314
11 S 0.610 0.939 0.314

Calculated values
**Total magnetic moment**: 0.182 μB per atom
**Raw formation energy**: -1739 meV/atom
**DOS at the Fermi energy**: 6.87 states/eV per cell


Q: total magnetic moment of number 1 (SrAc3Zn)?
A: 0.019 μB per atom


Q: Among the records above, which one has the lowest DOS at the Fermi energy?
A: PrSmIN